# Ta2ZnCo

A relaxed Ta2ZnCo crystal (PBE-GGA, Alexandria).

Results
Electronic total energy: -7.64 eV/atom

extended XYZ file:
```
8
Lattice="-3.532 3.532 2.637 3.532 -3.532 2.637 3.532 3.532 -2.637" Properties=species:S:1:pos:R:3 pbc="T T T"
Ta 5.298 1.473 -0.659
Ta 1.473 1.766 0.659
Ta -1.766 2.059 1.978
Ta 2.059 1.766 3.296
Zn 3.532 0.000 1.318
Zn 0.000 0.000 2.637
Co 0.000 0.000 0.000
Co 0.000 3.532 1.318
```

# Co2BiAs2

A relaxed Co2BiAs2 crystal (PBE-GGA, Alexandria).

Results
Electronic total energy: -5.32 eV/atom
Distance to the lowest polymorph of the same formula: 148 meV/atom

extended XYZ file:
```
10
Lattice="7.415 0.000 0.000 0.000 7.415 0.000 0.000 0.000 3.069" Properties=species:S:1:pos:R:3 pbc="T T T"
Co 0.919 2.788 0.000
Co 2.788 6.496 0.000
Co 4.627 0.919 0.000
Co 6.496 4.627 0.000
Bi 0.000 0.000 0.000
Bi 3.708 3.708 0.000
As 1.002 4.710 1.535
As 2.706 1.002 1.535
As 4.710 6.413 1.535
As 6.413 2.706 1.535
```

| no. | energy of formation from the pure elements (eV/f.u.) |
| --- | --- |
| 1 | 1.54 |
| 2 | 0.79 |